# 1
Below is a relaxed LaBe4 crystal, with properties calculated at the PBE-GGA level.

Summary:
Distance to the lowest polymorph of the same formula   0.0000 eV per atom
Formation energy from the elements   0.151 eV/atom

Cell lengths 5.299, 5.299, 5.299 Å; angles 135.30, 135.30, 65.07 degrees
Fractional coordinates of all 5 atoms:
La (0.000, 0.000, 0.000)
Be (0.750, 0.250, 0.500)
Be (0.250, 0.750, 0.500)
Be (0.632, 0.632, 0.000)
Be (0.368, 0.368, 0.000)

# 2
Below is a relaxed Tm3Np crystal, with properties calculated at the PBE-GGA level.

Summary:
Distance to the lowest polymorph of the same formula   0.0818 eV per atom
Formation energy from the elements   0.360 eV/atom

Cell lengths 5.974, 5.974, 5.974 Å; angles 132.01, 132.01, 70.21 degrees
Last column: magnetic moment on the atom in μB.
Fractional coordinates of all 4 atoms:
Tm (0.250, 0.750, 0.500)  0.28
Tm (0.750, 0.250, 0.500)  0.28
Tm (0.500, 0.500, 0.000)  0.25
Np (0.000, 0.000, 0.000)  4.22

# 3
Below is a relaxed NdTmCu3 crystal, with properties calculated at the PBE-GGA level.

Summary:
Formation energy from the elements   -0.233 eV/atom

Cell lengths 4.303, 3.718, 12.823 Å; angles 98.34, 90.00, 90.00 degrees
Fractional coordinates of all 10 atoms:
Nd (0.250, 0.073, 0.146)
Nd (0.750, 0.927, 0.854)
Tm (0.250, 0.794, 0.589)
Tm (0.750, 0.206, 0.411)
Cu (0.250, 0.378, 0.757)
Cu (0.750, 0.622, 0.243)
Cu (0.250, 0.476, 0.952)
Cu (0.750, 0.524, 0.048)
Cu (0.750, 0.324, 0.648)
Cu (0.250, 0.676, 0.352)

# 4
Below is a relaxed RbDy2Te6Pb3 crystal, with properties calculated at the PBE-GGA level.

Summary:
Uncorrected formation energy   -9.55 eV/f.u.

Cell lengths 4.450, 9.898, 10.185 Å; angles 100.24, 102.62, 90.00 degrees
Fractional coordinates of all 12 atoms:
Rb (0.500, 0.000, 0.000)
Dy (0.830, 0.666, 0.659)
Dy (0.170, 0.334, 0.341)
Te (0.317, 0.881, 0.635)
Te (0.669, 0.561, 0.338)
Te (0.683, 0.119, 0.365)
Te (0.016, 0.277, 0.032)
Te (0.984, 0.723, 0.968)
Te (0.331, 0.439, 0.662)
Pb (0.500, 0.500, 0.000)
Pb (0.841, 0.172, 0.683)
Pb (0.159, 0.828, 0.317)

# 5
Below is a relaxed CdAsBr2 crystal, with properties calculated at the PBE-GGA level.

Summary:
Distance to the lowest polymorph of the same formula   0.0784 eV per atom
Uncorrected formation energy   -0.80 eV/f.u.

Cell lengths 3.888, 3.893, 8.512 Å; angles 90.00, 90.00, 90.00 degrees
Fractional coordinates of all 4 atoms:
As (0.500, 0.500, 0.571)
Br (0.000, 0.000, 0.964)
Br (0.500, 0.500, 0.297)
Cd (0.000, 0.000, 0.668)

# 6
Below is a relaxed IrOsW2 crystal, with properties calculated at the PBE-GGA level.

Summary:
Distance to the lowest polymorph of the same formula   0.1752 eV per atom
Formation energy from the elements   0.055 eV/atom

Cell lengths 2.771, 2.771, 7.995 Å; angles 90.00, 90.00, 90.00 degrees
Fractional coordinates of all 4 atoms:
Ir (0.000, 0.000, 0.502)
Os (0.500, 0.500, 0.749)
W (0.000, 0.000, 0.989)
W (0.500, 0.500, 0.260)

# 7
Below is a relaxed CdHgAu2 crystal, with properties calculated at the PBE-GGA level.

Summary:
Formation energy from the elements   0.010 eV/atom

Cell lengths 3.091, 3.091, 8.427 Å; angles 90.00, 90.00, 90.01 degrees
Fractional coordinates of all 4 atoms:
Au (0.000, 0.000, 0.013)
Au (0.500, 0.500, 0.247)
Hg (0.500, 0.500, 0.760)
Cd (0.000, 0.000, 0.480)

# 8
Below is a relaxed BeAlRh crystal, with properties calculated at the PBE-GGA level.

Summary:
Distance to the lowest polymorph of the same formula   0.0000 eV per atom
Formation energy from the elements   -0.670 eV/atom

Cell lengths 3.185, 3.893, 6.087 Å; angles 90.00, 105.16, 90.00 degrees
Fractional coordinates of all 6 atoms:
Be (0.249, 0.250, 0.497)
Be (0.751, 0.750, 0.503)
Rh (0.599, 0.250, 0.197)
Rh (0.401, 0.750, 0.803)
Al (0.913, 0.250, 0.827)
Al (0.087, 0.750, 0.173)